! PBE Mg2Cu2SbAs, relaxed; values from VASP
&SYSTEM
  ibrav = 0, nat = 24, ntyp = 4
/
ATOMIC_SPECIES
As 74.92 As.upf
Cu 63.55 Cu.upf
Mg 24.30 Mg.upf
Sb 121.76 Sb.upf
CELL_PARAMETERS angstrom
10.5339 0.0000 0.0000
0.0000 4.3060 0.0000
-3.5309 0.0000 9.9295
ATOMIC_POSITIONS angstrom
As 9.6395 0.0000 2.4475
As 6.1381 0.0000 4.9976
As 2.6575 0.0000 7.4592
As 6.0937 2.1530 8.6680
Cu 3.4973 2.1530 1.2422
Cu 7.0940 0.0000 2.5286
Cu -0.0536 2.1530 3.6547
Cu 3.5427 0.0000 5.0583
Cu 6.9612 2.1530 6.2156
Cu 0.0356 0.0000 7.4283
Cu 3.5434 2.1530 8.6599
Cu 6.9368 0.0000 9.9108
Mg 0.7625 2.1530 1.2039
Mg 4.4397 0.0000 2.5649
Mg 7.8740 2.1530 3.7589
Mg 0.8722 0.0000 4.9244
Mg 4.3998 2.1530 6.2483
Mg 7.7804 0.0000 7.4446
Mg 0.9529 2.1530 8.6408
Mg 4.3836 0.0000 9.8818
Sb 6.1714 2.1530 1.2561
Sb 2.6307 2.1530 3.7508
Sb -0.8990 2.1530 6.1900
Sb -0.9142 0.0000 9.9135
! SG: Pm (6)
! V (Å³/cell): 450.4
! Energy (eV per atom): -3.51

=====

! PBE CuSnHgPt, relaxed; values from VASP
&SYSTEM
  ibrav = 0, nat = 4, ntyp = 4
/
ATOMIC_SPECIES
Cu 63.55 Cu.upf
Hg 200.59 Hg.upf
Pt 195.08 Pt.upf
Sn 118.71 Sn.upf
CELL_PARAMETERS angstrom
0.0000 3.3185 3.3185
3.3185 0.0000 3.3185
3.3185 3.3185 0.0000
ATOMIC_POSITIONS angstrom
Cu 4.9778 4.9778 4.9778
Hg 3.3185 3.3185 3.3185
Pt 1.6593 1.6593 1.6593
Sn 0.0000 0.0000 0.0000
! SG: F-43m (216)
! V (Å³/cell): 73.1
! Energy (eV per atom): -3.51

=====

! PBE BMo2, relaxed; values from VASP
&SYSTEM
  ibrav = 0, nat = 3, ntyp = 2
/
ATOMIC_SPECIES
B 10.81 B.upf
Mo 95.94 Mo.upf
CELL_PARAMETERS angstrom
-2.6742 0.5260 2.7173
-3.2924 -1.9888 -0.1297
-0.6817 -2.7642 2.5896
ATOMIC_POSITIONS angstrom
B 0.0000 0.0000 0.0000
Mo -1.6621 -1.0568 1.2943
Mo -4.9862 -3.1703 3.8829
! SG: Fm-3m (225)
! V (Å³/cell): 40.3
! Energy (eV per atom): -9.22

=====

! PBE La2TaRe2, relaxed; values from VASP
&SYSTEM
  ibrav = 0, nat = 10, ntyp = 3
/
ATOMIC_SPECIES
La 138.91 La.upf
Re 186.21 Re.upf
Ta 180.95 Ta.upf
CELL_PARAMETERS angstrom
0.0000 5.2914 7.8673
3.0859 0.0000 7.8673
3.0859 5.2914 0.0000
ATOMIC_POSITIONS angstrom
La 3.0859 3.5771 7.8673
La 4.6288 6.2228 11.8009
La 3.0859 7.0057 7.8673
La 4.6288 9.6514 11.8009
Re 0.7715 3.9686 5.9004
Re 0.7715 1.3229 1.9668
Re 2.3144 1.3229 5.9004
Re 2.3144 3.9686 1.9668
Ta 0.0000 0.0000 0.0000
Ta 1.5429 2.6457 3.9336
! SG: Fddd (70)
! V (Å³/cell): 256.9
! Energy (eV per atom): -8.78
! Energy relative to the elements (eV per formula unit): 2.63